Mg6Sn2Au | GGA-PBE | optimized geometry

Summary:
For the total magnetic moment, the calculation gives 0.0 μB per cell.

abc: 5.8695 7.9606 10.2883
angles: 90.00 117.93 90.00
Space group P2_1/c (No. 14)
Inequivalent atoms, fractional coordinates:
Mg 0.0543 0.1732 0.4375 (multiplicity 4)
Mg 0.2381 0.0071 0.1898 (multiplicity 4)
Mg 0.3148 0.6850 0.4339 (multiplicity 4)
Sn 0.2367 0.1252 0.7571 (multiplicity 4)
Au 0.5000 0.0000 0.5000 (multiplicity 2)

SrCaTa2 | GGA-PBE | optimized geometry

Summary:
For the total magnetic moment, the calculation gives 0.0 μB per cell.

abc: 3.7008 4.6535 11.3351
angles: 90.00 90.00 90.00
Space group Cmmm (No. 65)
Inequivalent atoms, fractional coordinates:
Sr 0.0000 0.0000 0.0000 (multiplicity 2)
Ca 0.0000 0.0000 0.5000 (multiplicity 2)
Ta 0.0000 0.5000 0.2564 (multiplicity 4)

Calculated density values, unit g/cm³, following the record order: 4.54 8.33.
Energy of formation values, unit kJ per mole of atoms, following the record order: -15.6 97.5.